# KHg2GeS4, optimized geometry, DFT GGA-PBE
# E_form (uncorrected) in meV/atom: -407
# Total magnetization in Bohr magnetons per cell: 0.00
data_KHg2GeS4
_space_group_name_H-M_alt 'F m m 2'
_space_group_IT_number 42
_space_group_name_Hall 'F 2 -2'
_cell_length_a 9.826
_cell_length_b 10.102
_cell_length_c 8.514
_cell_angle_alpha 90.00
_cell_angle_beta 90.00
_cell_angle_gamma 90.00
loop_
_atom_site_label
_atom_site_type_symbol
_atom_site_fract_x
_atom_site_fract_y
_atom_site_fract_z
K1 K 0.000 0.000 0.000
Hg1 Hg 0.250 0.250 0.217
Ge1 Ge 0.000 0.000 0.499
S1 S 0.000 0.187 0.360
S2 S 0.190 0.000 0.653

=====

# KHgGe2S6, optimized geometry, DFT GGA-PBE
# E_form (uncorrected) in meV/atom: -333
# Total magnetization in Bohr magnetons per cell: 2.92
data_KHgGe2S6
_space_group_name_H-M_alt 'C 1 2/c 1'
_space_group_IT_number 15
_space_group_name_Hall '-C 2yc'
_cell_length_a 13.423
_cell_length_b 13.937
_cell_length_c 6.200
_cell_angle_alpha 90.00
_cell_angle_beta 101.44
_cell_angle_gamma 90.00
loop_
_atom_site_label
_atom_site_type_symbol
_atom_site_fract_x
_atom_site_fract_y
_atom_site_fract_z
K1 K 0.000 0.117 0.250
Hg1 Hg 0.000 0.314 0.750
Ge1 Ge 0.214 0.428 0.168
S1 S 0.123 0.088 0.776
S2 S 0.140 0.285 0.045
S3 S 0.142 0.445 0.469

=====

# KHg2GeSe4, optimized geometry, DFT GGA-PBE
# E_form (uncorrected) in meV/atom: -414
# Total magnetization in Bohr magnetons per cell: 0.00
data_KHg2GeSe4
_space_group_name_H-M_alt 'F m m 2'
_space_group_IT_number 42
_space_group_name_Hall 'F 2 -2'
_cell_length_a 10.525
_cell_length_b 10.580
_cell_length_c 8.655
_cell_angle_alpha 90.00
_cell_angle_beta 90.00
_cell_angle_gamma 90.00
loop_
_atom_site_label
_atom_site_type_symbol
_atom_site_fract_x
_atom_site_fract_y
_atom_site_fract_z
K1 K 0.000 0.000 0.000
Hg1 Hg 0.250 0.250 0.258
Ge1 Ge 0.000 0.000 0.500
Se1 Se 0.000 0.188 0.655
Se2 Se 0.190 0.000 0.343

=====

# KHg2GeSe, optimized geometry, DFT GGA-PBE
# E_form (uncorrected) in meV/atom: -221
# Total magnetization in Bohr magnetons per cell: 0.00
data_KHg2GeSe
_space_group_name_H-M_alt 'P 4/m m m'
_space_group_IT_number 123
_space_group_name_Hall '-P 4 2'
_cell_length_a 5.349
_cell_length_b 5.349
_cell_length_c 5.468
_cell_angle_alpha 90.00
_cell_angle_beta 90.00
_cell_angle_gamma 90.00
loop_
_atom_site_label
_atom_site_type_symbol
_atom_site_fract_x
_atom_site_fract_y
_atom_site_fract_z
K1 K 0.000 0.000 0.000
Hg1 Hg 0.000 0.500 0.500
Ge1 Ge 0.500 0.500 0.500
Se1 Se 0.500 0.500 0.000

=====

# KHgGeSe2, optimized geometry, DFT GGA-PBE
# E_form (uncorrected) in meV/atom: 102
# Total magnetization in Bohr magnetons per cell: 0.00
data_KHgGeSe2
_space_group_name_H-M_alt 'P 4/m m m'
_space_group_IT_number 123
_space_group_name_Hall '-P 4 2'
_cell_length_a 5.586
_cell_length_b 5.586
_cell_length_c 5.071
_cell_angle_alpha 90.00
_cell_angle_beta 90.00
_cell_angle_gamma 90.00
loop_
_atom_site_label
_atom_site_type_symbol
_atom_site_fract_x
_atom_site_fract_y
_atom_site_fract_z
K1 K 0.000 0.000 0.000
Hg1 Hg 0.500 0.500 0.500
Ge1 Ge 0.500 0.500 0.000
Se1 Se 0.000 0.500 0.500

=====

# K2SrHgGe, optimized geometry, DFT GGA-PBE
# Formation energy in meV/atom: 717
# Total magnetization in Bohr magnetons per cell: 1.79
data_K2SrHgGe
_space_group_name_H-M_alt 'P 4/m m m'
_space_group_IT_number 123
_space_group_name_Hall '-P 4 2'
_cell_length_a 7.434
_cell_length_b 7.434
_cell_length_c 6.113
_cell_angle_alpha 90.00
_cell_angle_beta 90.00
_cell_angle_gamma 90.00
loop_
_atom_site_label
_atom_site_type_symbol
_atom_site_fract_x
_atom_site_fract_y
_atom_site_fract_z
K1 K 0.000 0.500 0.000
Sr1 Sr 0.000 0.000 0.000
Hg1 Hg 0.000 0.000 0.500
Ge1 Ge 0.500 0.500 0.500

=====

# KSrHgGe, optimized geometry, DFT GGA-PBE
# Formation energy in meV/atom: -212
# Total magnetization in Bohr magnetons per cell: 1.77
data_KSrHgGe
_space_group_name_H-M_alt 'F -4 3 m'
_space_group_IT_number 216
_space_group_name_Hall 'F -4 2 3'
_cell_length_a 7.940
_cell_length_b 7.940
_cell_length_c 7.940
_cell_angle_alpha 90.00
_cell_angle_beta 90.00
_cell_angle_gamma 90.00
loop_
_atom_site_label
_atom_site_type_symbol
_atom_site_fract_x
_atom_site_fract_y
_atom_site_fract_z
K1 K 0.000 0.000 0.000
Sr1 Sr 0.000 0.000 0.500
Hg1 Hg 0.250 0.250 0.250
Ge1 Ge 0.250 0.250 0.750

=====

# KTcHgGe2, optimized geometry, DFT GGA-PBE
# Formation energy in meV/atom: -56
# Total magnetization in Bohr magnetons per cell: 0.00
data_KTcHgGe2
_space_group_name_H-M_alt 'P 4/m m m'
_space_group_IT_number 123
_space_group_name_Hall '-P 4 2'
_cell_length_a 4.822
_cell_length_b 4.822
_cell_length_c 5.495
_cell_angle_alpha 90.00
_cell_angle_beta 90.00
_cell_angle_gamma 90.00
loop_
_atom_site_label
_atom_site_type_symbol
_atom_site_fract_x
_atom_site_fract_y
_atom_site_fract_z
K1 K 0.000 0.000 0.000
Tc1 Tc 0.500 0.500 0.500
Hg1 Hg 0.500 0.500 0.000
Ge1 Ge 0.000 0.500 0.500

=====

# KHgGeTe3, optimized geometry, DFT GGA-PBE
# E_form (uncorrected) in meV/atom: -266
# Total magnetization in Bohr magnetons per cell: 0.00
data_KHgGeTe3
_space_group_name_H-M_alt 'P 1 21/m 1'
_space_group_IT_number 11
_space_group_name_Hall '-P 2yb'
_cell_length_a 9.035
_cell_length_b 4.855
_cell_length_c 10.196
_cell_angle_alpha 90.00
_cell_angle_beta 107.79
_cell_angle_gamma 90.00
loop_
_atom_site_label
_atom_site_type_symbol
_atom_site_fract_x
_atom_site_fract_y
_atom_site_fract_z
K1 K 0.249 0.250 0.249
Hg1 Hg 0.342 0.750 0.911
Ge1 Ge 0.102 0.250 0.633
Te1 Te 0.066 0.250 0.877
Te2 Te 0.196 0.750 0.553
Te3 Te 0.485 0.250 0.801

=====

# KHgGeTe4, optimized geometry, DFT GGA-PBE
# E_form (uncorrected) in meV/atom: -248
# Total magnetization in Bohr magnetons per cell: 0.00
data_KHgGeTe4
_space_group_name_H-M_alt 'P 1 21/m 1'
_space_group_IT_number 11
_space_group_name_Hall '-P 2yb'
_cell_length_a 7.521
_cell_length_b 7.142
_cell_length_c 10.589
_cell_angle_alpha 90.00
_cell_angle_beta 106.19
_cell_angle_gamma 90.00
loop_
_atom_site_label
_atom_site_type_symbol
_atom_site_fract_x
_atom_site_fract_y
_atom_site_fract_z
K1 K 0.202 0.250 0.036
Hg1 Hg 0.276 0.250 0.691
Ge1 Ge 0.239 0.750 0.302
Te1 Te 0.000 0.023 0.284
Te2 Te 0.374 0.750 0.100
Te3 Te 0.465 0.250 0.489

=====

# KHg2GeTe4, optimized geometry, DFT GGA-PBE
# E_form (uncorrected) in meV/atom: -260
# Total magnetization in Bohr magnetons per cell: 0.00
data_KHg2GeTe4
_space_group_name_H-M_alt 'F m m 2'
_space_group_IT_number 42
_space_group_name_Hall 'F 2 -2'
_cell_length_a 11.264
_cell_length_b 11.265
_cell_length_c 9.203
_cell_angle_alpha 90.00
_cell_angle_beta 90.00
_cell_angle_gamma 90.00
loop_
_atom_site_label
_atom_site_type_symbol
_atom_site_fract_x
_atom_site_fract_y
_atom_site_fract_z
K1 K 0.000 0.000 0.000
Hg1 Hg 0.250 0.250 0.249
Ge1 Ge 0.000 0.000 0.499
Te1 Te 0.000 0.194 0.339
Te2 Te 0.194 0.000 0.660

=====

# KTiHgGe2, optimized geometry, DFT GGA-PBE
# Formation energy in meV/atom: 1600
# Total magnetization in Bohr magnetons per cell: 0.02
data_KTiHgGe2
_space_group_name_H-M_alt 'P 4/m m m'
_space_group_IT_number 123
_space_group_name_Hall '-P 4 2'
_cell_length_a 5.295
_cell_length_b 5.295
_cell_length_c 5.413
_cell_angle_alpha 90.00
_cell_angle_beta 90.00
_cell_angle_gamma 90.00
loop_
_atom_site_label
_atom_site_type_symbol
_atom_site_fract_x
_atom_site_fract_y
_atom_site_fract_z
K1 K 0.000 0.000 0.000
Ti1 Ti 0.500 0.500 0.500
Hg1 Hg 0.000 0.000 0.500
Ge1 Ge 0.000 0.500 0.000

=====

| no. | calculated total energy (eV/atom) |
| --- | --- |
| 1 | -3.2607 |
| 2 | -3.8725 |
| 3 | -2.9457 |
| 4 | -2.1817 |
| 5 | -2.4950 |
| 6 | -1.0421 |
| 7 | -2.1370 |
| 8 | -4.2556 |
| 9 | -2.8399 |
| 10 | -2.9029 |
| 11 | -2.6208 |
| 12 | -2.1060 |